BaSnO3 (PBE, optimized geometry); energy relative to the elements, uncorrected = -1.814 eV/atom
1.0
3.036 -7.681 0.000
3.036 7.681 0.000
0.000 0.000 5.199
Ba Sn O
2 2 6
Cartesian
3.036 4.883 3.899 Ba
3.036 -4.883 1.300 Ba
3.036 1.435 3.899 Sn
3.036 -1.435 1.300 Sn
1.510 2.676 3.899 O
1.510 -2.676 1.300 O
3.036 0.000 0.000 O
3.036 0.000 2.600 O
4.561 2.676 3.899 O
4.561 -2.676 1.300 O